A relaxed structure of PrEr2ScSe6. Source: Alexandria, functional PBE-GGA.

It has space group R3 (No. 146, hexagonal axes), with a = 7.1589 Å, b = 7.1589 Å, c = 19.2706 Å, α = 90.00°, β = 90.00° and γ = 120.00°. The distinct sites, in fractional coordinates, are Pr at (0.0000, 0.0000, 0.0000), Er at (0.0000, 0.0000, 0.2953), Er at (0.0000, 0.0000, 0.8021), Sc at (0.0000, 0.0000, 0.4902), Se at (0.0213, 0.7179, 0.3970) and Se at (0.0228, 0.3437, 0.5606).

For the density, the calculation gives 5.8 g/cm³. As for the crystal system: trigonal. The formation energy (no corrections) is -1.78 eV per atom.



A relaxed structure of Pr3ErSc2Se6. Source: Alexandria, functional PBE-GGA.

It has space group C2/m (No. 12), with a = 6.9759 Å, b = 12.1285 Å, c = 7.2926 Å, α = 90.00°, β = 108.70° and γ = 90.00°. The distinct sites, in fractional coordinates, are Pr at (0.0000, 0.0000, 0.0000), Pr at (0.0000, 0.3367, 0.0000), Er at (0.0000, 0.5000, 0.5000), Sc at (0.0000, 0.1666, 0.5000), Se at (0.2322, 0.0000, 0.7194) and Se at (0.2443, 0.3297, 0.7224).

For the density, the calculation gives 6.6 g/cm³. As for the crystal system: monoclinic. The formation energy (no corrections) is -1.73 eV per atom.